## PmGaIr2 (PBE-GGA)

Data for crystalline PmGaIr2 at its relaxed geometry.

Output
The calculation puts the density of states at the Fermi level at 3.60 states/eV/f.u. Its total energy is -6.419 eV per atom.

a b c (Å): 7.1800 5.6565 8.7672
angles (deg): 90.00 90.00 90.00
Last column: magnetic moment on the atom in μB.
Fractional positions:
Pm: 0.0000 0.2500 0.6501  -0.01
Pm: 0.5000 0.7500 0.2114  0.00
Pm: 0.0000 0.7500 0.3499  -0.01
Pm: 0.5000 0.2500 0.7886  0.00
Ga: 0.5000 0.7500 0.7235  0.00
Ga: 0.5000 0.2500 0.2765  0.00
Ga: 0.0000 0.2500 0.2458  0.00
Ga: 0.0000 0.7500 0.7542  0.00
Ir: 0.0000 0.0000 0.0000  0.00
Ir: 0.5000 0.5000 0.5000  0.17
Ir: 0.3000 0.7500 0.9480  -0.01
Ir: 0.7000 0.2500 0.0520  -0.01
Ir: 0.7000 0.7500 0.9480  -0.01
Ir: 0.3000 0.2500 0.0520  -0.01
Ir: 0.0000 0.5000 0.0000  0.00
Ir: 0.5000 0.0000 0.5000  0.17



## Tb6Er3TmTh2 (PBE-GGA)

Data for crystalline Tb6Er3TmTh2 at its relaxed geometry.

Output
The calculation puts the density of states at the Fermi level at 16.77 states/eV/f.u. Its total energy is -5.039 eV per atom.

a b c (Å): 6.1391 6.1391 11.7702
angles (deg): 95.00 95.00 119.96
Fractional positions:
Tb: 0.9166 0.5811 0.7513
Tb: 0.7474 0.7474 0.2491
Tb: 0.0834 0.4189 0.2487
Tb: 0.5811 0.9166 0.7513
Tb: 0.2526 0.2526 0.7509
Tb: 0.4189 0.0834 0.2487
Er: 0.1666 0.8334 0.5000
Er: 0.8334 0.1666 0.5000
Er: 0.5000 0.5000 0.5000
Tm: 0.0000 0.0000 0.0000
Th: 0.3335 0.6665 0.0000
Th: 0.6665 0.3335 0.0000



## BeCr2Cd (PBE-GGA)

Data for crystalline BeCr2Cd at its relaxed geometry.

Output
The calculation puts the density of states at the Fermi level at 4.05 states/eV/f.u. As for the energy above the most stable polymorph in this dataset: 0.608 eV/atom.

a b c (Å): 3.4603 3.4603 9.6008
angles (deg): 79.62 79.62 90.00
Fractional positions:
Cr: 0.1736 0.1250 0.2500
Cr: 0.5764 0.6250 0.2500
Cr: 0.3750 0.8264 0.7500
Cr: 0.8750 0.4236 0.7500
Be: 0.5000 0.5000 0.0000
Be: 0.2500 0.7500 0.5000
Cd: 0.0000 0.0000 0.0000
Cd: 0.7500 0.2500 0.5000



## CsScCd2Cl8 (PBE-GGA)

Data for crystalline CsScCd2Cl8 at its relaxed geometry.

Output
The calculation puts the density of states at the Fermi level at 0.00 states/eV/f.u. The calculation puts the uncorrected formation energy at -1544 meV/atom.

a b c (Å): 6.5657 6.5862 9.3621
angles (deg): 74.75 75.70 73.41
Fractional positions:
Cs: 0.0000 0.0000 0.5000
Sc: 0.0000 0.0000 0.0000
Cd: 0.4418 0.4374 0.7326
Cd: 0.5582 0.5626 0.2674
Cl: 0.1730 0.7215 0.2067
Cl: 0.7535 0.7656 0.0192
Cl: 0.7309 0.1857 0.1975
Cl: 0.8270 0.2785 0.7933
Cl: 0.2465 0.2344 0.9808
Cl: 0.2691 0.8143 0.8025
Cl: 0.6424 0.6855 0.4747
Cl: 0.3576 0.3145 0.5253



## AlTl2W2 (PBE-GGA)

Data for crystalline AlTl2W2 at its relaxed geometry.

Output
The calculation puts the density of states at the Fermi level at 3.35 states/eV/f.u. As for the energy above the most stable polymorph in this dataset: 0.000 eV/atom.

a b c (Å): 6.7033 6.7033 4.5228
angles (deg): 90.00 90.00 90.00
Fractional positions:
Tl: 0.1745 0.6745 0.5000
Tl: 0.6745 0.8255 0.5000
Tl: 0.8255 0.3255 0.5000
Tl: 0.3255 0.1745 0.5000
Al: 0.0000 0.0000 0.0000
Al: 0.5000 0.5000 0.0000
W: 0.3682 0.8682 0.0000
W: 0.8682 0.6318 0.0000
W: 0.6318 0.1318 0.0000
W: 0.1318 0.3682 0.0000



## SnAuI2 (PBE-GGA)

Data for crystalline SnAuI2 at its relaxed geometry.

Output
The calculation puts the density of states at the Fermi level at 3.40 states/eV/f.u. The calculation puts the uncorrected formation energy at 162 meV/atom. As for the energy above the most stable polymorph in this dataset: 0.035 eV/atom.

a b c (Å): 5.5117 5.5117 5.5117
angles (deg): 60.00 60.00 60.00
Fractional positions:
I: 0.2500 0.2500 0.2500
I: 0.7500 0.7500 0.7500
Au: 0.5000 0.5000 0.5000
Sn: 0.0000 0.0000 0.0000